1.
A geometry-optimized InCu2Si structure. Source: Alexandria via LeMat-Bulk, functional GGA-PBE.

Raw formation energy: 0.173 eV per atom
Crystal system: monoclinic
Uncorrected energy: -3.916 eV/atom

CIF file:
```
data_InCu2Si
_space_group_name_H-M_alt 'C 1 m 1'
_space_group_IT_number 8
_space_group_name_Hall 'C -2y'
_cell_length_a 8.008
_cell_length_b 3.263
_cell_length_c 5.306
_cell_angle_alpha 90.00
_cell_angle_beta 103.88
_cell_angle_gamma 90.00
loop_
_atom_site_label
_atom_site_type_symbol
_atom_site_fract_x
_atom_site_fract_y
_atom_site_fract_z
_atom_site_occupancy
In1 In 0.000 0.000 0.000 1
Cu1 Cu 0.004 0.500 0.512 1
Cu2 Cu 0.261 0.500 0.293 1
Si1 Si 0.232 0.000 0.620 1
```



2.
A geometry-optimized InCu3Si structure. Source: Alexandria via LeMat-Bulk, functional GGA-PBE.

Raw formation energy: 0.310 eV per atom
Energy above the lowest structure with this stoichiometry: 0 meV per atom
Crystal system: cubic
Uncorrected energy: -3.780 eV/atom

CIF file:
```
data_InCu3Si
_space_group_name_H-M_alt 'P m -3 m'
_space_group_IT_number 221
_space_group_name_Hall '-P 4 2 3'
_cell_length_a 4.503
_cell_length_b 4.503
_cell_length_c 4.503
_cell_angle_alpha 90.00
_cell_angle_beta 90.00
_cell_angle_gamma 90.00
loop_
_atom_site_label
_atom_site_type_symbol
_atom_site_fract_x
_atom_site_fract_y
_atom_site_fract_z
_atom_site_occupancy
In1 In 0.000 0.000 0.000 1
Cu1 Cu 0.000 0.500 0.500 1
Si1 Si 0.500 0.500 0.500 1
```



3.
A geometry-optimized InCu2Si structure. Source: Alexandria via LeMat-Bulk, functional GGA-PBE.

Raw formation energy: 0.176 eV per atom
Crystal system: orthorhombic
Uncorrected energy: -3.912 eV/atom

CIF file:
```
data_InCu2Si
_space_group_name_H-M_alt 'P m m 2'
_space_group_IT_number 25
_space_group_name_Hall 'P 2 -2'
_cell_length_a 3.359
_cell_length_b 4.304
_cell_length_c 4.702
_cell_angle_alpha 90.00
_cell_angle_beta 90.00
_cell_angle_gamma 90.00
loop_
_atom_site_label
_atom_site_type_symbol
_atom_site_fract_x
_atom_site_fract_y
_atom_site_fract_z
_atom_site_occupancy
In1 In 0.000 0.000 0.000 1
Cu1 Cu 0.500 0.000 0.488 1
Cu2 Cu 0.500 0.500 0.204 1
Si1 Si 0.500 0.500 0.705 1
```



4.
A geometry-optimized InCuSi2 structure. Source: Alexandria via LeMat-Bulk, functional GGA-PBE.

Raw formation energy: 0.333 eV per atom
Crystal system: orthorhombic
Uncorrected energy: -4.087 eV/atom

CIF file:
```
data_InCuSi2
_space_group_name_H-M_alt 'P m m m'
_space_group_IT_number 47
_space_group_name_Hall '-P 2 2'
_cell_length_a 2.908
_cell_length_b 3.543
_cell_length_c 6.830
_cell_angle_alpha 90.00
_cell_angle_beta 90.00
_cell_angle_gamma 90.00
loop_
_atom_site_label
_atom_site_type_symbol
_atom_site_fract_x
_atom_site_fract_y
_atom_site_fract_z
_atom_site_occupancy
In1 In 0.000 0.000 0.000 1
Cu1 Cu 0.000 0.000 0.500 1
Si1 Si 0.500 0.500 0.317 1
```



5.
A geometry-optimized InCuSi2 structure. Source: Alexandria via LeMat-Bulk, functional GGA-PBE.

Raw formation energy: 0.373 eV per atom
Crystal system: orthorhombic
Uncorrected energy: -4.047 eV/atom

CIF file:
```
data_InCuSi2
_space_group_name_H-M_alt 'F m m m'
_space_group_IT_number 69
_space_group_name_Hall '-F 2 2'
_cell_length_a 5.251
_cell_length_b 5.262
_cell_length_c 10.110
_cell_angle_alpha 90.00
_cell_angle_beta 90.00
_cell_angle_gamma 90.00
loop_
_atom_site_label
_atom_site_type_symbol
_atom_site_fract_x
_atom_site_fract_y
_atom_site_fract_z
_atom_site_occupancy
In1 In 0.000 0.000 0.000 1
Cu1 Cu 0.000 0.000 0.500 1
Si1 Si 0.250 0.000 0.250 1
```



6.
A geometry-optimized InCu2Si structure. Source: Alexandria via LeMat-Bulk, functional GGA-PBE.

Raw formation energy: 0.256 eV per atom
Crystal system: orthorhombic
Uncorrected energy: -3.833 eV/atom

CIF file:
```
data_InCu2Si
_space_group_name_H-M_alt 'C m m m'
_space_group_IT_number 65
_space_group_name_Hall '-C 2 2'
_cell_length_a 5.816
_cell_length_b 7.675
_cell_length_c 2.796
_cell_angle_alpha 90.00
_cell_angle_beta 90.00
_cell_angle_gamma 90.00
loop_
_atom_site_label
_atom_site_type_symbol
_atom_site_fract_x
_atom_site_fract_y
_atom_site_fract_z
_atom_site_occupancy
In1 In 0.000 0.000 0.000 1
Cu1 Cu 0.250 0.250 0.500 1
Si1 Si 0.000 0.500 0.000 1
```



7.
A geometry-optimized InCuSi2 structure. Source: Alexandria via LeMat-Bulk, functional GGA-PBE.

Raw formation energy: 0.224 eV per atom
Crystal system: tetragonal
Uncorrected energy: -4.196 eV/atom

CIF file:
```
data_InCuSi2
_space_group_name_H-M_alt 'I -4 2 d'
_space_group_IT_number 122
_space_group_name_Hall 'I -4 2bw'
_cell_length_a 4.383
_cell_length_b 4.383
_cell_length_c 15.740
_cell_angle_alpha 90.00
_cell_angle_beta 90.00
_cell_angle_gamma 90.00
loop_
_atom_site_label
_atom_site_type_symbol
_atom_site_fract_x
_atom_site_fract_y
_atom_site_fract_z
_atom_site_occupancy
In1 In 0.000 0.000 0.000 1
Cu1 Cu 0.000 0.000 0.500 1
Si1 Si 0.154 0.250 0.625 1
```



8.
A geometry-optimized InCu2Si structure. Source: Alexandria via LeMat-Bulk, functional GGA-PBE.

Raw formation energy: 0.187 eV per atom
Crystal system: monoclinic
Uncorrected energy: -3.901 eV/atom

CIF file:
```
data_InCu2Si
_space_group_name_H-M_alt 'P 1 2/m 1'
_space_group_IT_number 10
_space_group_name_Hall '-P 2y'
_cell_length_a 2.757
_cell_length_b 3.506
_cell_length_c 6.495
_cell_angle_alpha 90.00
_cell_angle_beta 90.93
_cell_angle_gamma 90.00
loop_
_atom_site_label
_atom_site_type_symbol
_atom_site_fract_x
_atom_site_fract_y
_atom_site_fract_z
_atom_site_occupancy
In1 In 0.000 0.000 0.000 1
Cu1 Cu 0.498 0.500 0.701 1
Si1 Si 0.000 0.000 0.500 1
```



9.
A geometry-optimized InCu3Si structure. Source: Alexandria via LeMat-Bulk, functional GGA-PBE.

Raw formation energy: 1.115 eV per atom
Energy above the lowest structure with this stoichiometry: 804 meV per atom
Crystal system: cubic
Uncorrected energy: -2.975 eV/atom

CIF file:
```
data_InCu3Si
_space_group_name_H-M_alt 'P m -3 m'
_space_group_IT_number 221
_space_group_name_Hall '-P 4 2 3'
_cell_length_a 4.778
_cell_length_b 4.778
_cell_length_c 4.778
_cell_angle_alpha 90.00
_cell_angle_beta 90.00
_cell_angle_gamma 90.00
loop_
_atom_site_label
_atom_site_type_symbol
_atom_site_fract_x
_atom_site_fract_y
_atom_site_fract_z
_atom_site_occupancy
In1 In 0.000 0.000 0.000 1
Cu1 Cu 0.000 0.000 0.500 1
Si1 Si 0.500 0.500 0.500 1
```



10.
A geometry-optimized InCu2Si structure. Source: Alexandria via LeMat-Bulk, functional GGA-PBE.

Raw formation energy: 0.338 eV per atom
Crystal system: tetragonal
Uncorrected energy: -3.750 eV/atom

CIF file:
```
data_InCu2Si
_space_group_name_H-M_alt 'I -4 2 d'
_space_group_IT_number 122
_space_group_name_Hall 'I -4 2bw'
_cell_length_a 7.165
_cell_length_b 7.165
_cell_length_c 5.423
_cell_angle_alpha 90.00
_cell_angle_beta 90.00
_cell_angle_gamma 90.00
loop_
_atom_site_label
_atom_site_type_symbol
_atom_site_fract_x
_atom_site_fract_y
_atom_site_fract_z
_atom_site_occupancy
In1 In 0.000 0.000 0.000 1
Cu1 Cu 0.196 0.750 0.625 1
Si1 Si 0.000 0.000 0.500 1
```



11.
A geometry-optimized In3CuSi structure. Source: Alexandria via LeMat-Bulk, functional GGA-PBE.

Raw formation energy: 0.494 eV per atom
Energy above the lowest structure with this stoichiometry: 0 meV per atom
Crystal system: cubic
Uncorrected energy: -3.053 eV/atom

CIF file:
```
data_In3CuSi
_space_group_name_H-M_alt 'P m -3 m'
_space_group_IT_number 221
_space_group_name_Hall '-P 4 2 3'
_cell_length_a 5.033
_cell_length_b 5.033
_cell_length_c 5.033
_cell_angle_alpha 90.00
_cell_angle_beta 90.00
_cell_angle_gamma 90.00
loop_
_atom_site_label
_atom_site_type_symbol
_atom_site_fract_x
_atom_site_fract_y
_atom_site_fract_z
_atom_site_occupancy
In1 In 0.000 0.000 0.500 1
Cu1 Cu 0.000 0.000 0.000 1
Si1 Si 0.500 0.500 0.500 1
```



12.
A geometry-optimized InCu2Si structure. Source: Alexandria via LeMat-Bulk, functional GGA-PBE.

Raw formation energy: 0.244 eV per atom
Crystal system: tetragonal
Uncorrected energy: -3.845 eV/atom

CIF file:
```
data_InCu2Si
_space_group_name_H-M_alt 'I 4/m m m'
_space_group_IT_number 139
_space_group_name_Hall '-I 4 2'
_cell_length_a 3.993
_cell_length_b 3.993
_cell_length_c 7.785
_cell_angle_alpha 90.00
_cell_angle_beta 90.00
_cell_angle_gamma 90.00
loop_
_atom_site_label
_atom_site_type_symbol
_atom_site_fract_x
_atom_site_fract_y
_atom_site_fract_z
_atom_site_occupancy
In1 In 0.000 0.000 0.000 1
Cu1 Cu 0.000 0.500 0.250 1
Si1 Si 0.000 0.000 0.500 1
```